A | Computed, not measured: a relaxed structure of KSrVO4 at the GGA+U level of DFT.

The structure in POSCAR format:
```
KSrVO4
1.0
5.938 0.000 0.000
0.000 7.561 0.000
0.000 0.000 10.087
K Sr V O
4 4 4 16
Cartesian
0.113 0.674 4.280
2.856 6.887 9.323
3.082 3.106 5.807
5.825 4.455 0.764
0.122 1.878 8.075
2.847 5.683 3.032
3.091 1.903 2.011
5.816 5.659 7.055
0.106 3.977 4.186
2.863 3.584 9.230
3.075 7.365 5.900
5.832 0.197 0.857
0.042 3.220 5.763
0.444 5.652 4.441
1.392 7.483 1.729
1.462 3.368 3.276
1.507 4.194 8.319
1.577 0.078 6.772
2.525 1.909 9.484
2.927 4.341 0.719
3.011 0.560 4.324
3.413 5.690 5.646
4.361 3.859 8.358
4.431 0.413 6.811
4.476 7.148 1.768
4.546 3.703 3.314
5.494 1.872 0.603
5.896 7.001 9.367
```

Values from the calculation:
The magnetization is 0.000 μB/atom. The density of states at the Fermi level comes out at 0.00 states/eV/f.u. Its space-group type is P2_12_12_1 (19).

---

B | Computed, not measured: a relaxed structure of KSrVO4 at the GGA+U level of DFT.

The structure in POSCAR format:
```
KSrVO4
1.0
6.167 0.000 0.000
0.000 6.005 0.000
-1.745 0.000 7.208
K Sr V O
2 2 2 8
Cartesian
0.444 1.501 2.979
3.978 4.504 4.229
0.119 1.501 6.790
4.303 4.504 0.419
1.210 4.504 1.271
3.212 1.501 5.937
-0.179 4.504 2.328
-1.159 4.504 6.861
2.271 3.122 1.446
2.271 5.885 1.446
2.151 0.120 5.762
2.151 2.883 5.762
5.581 1.501 0.347
4.601 1.501 4.880
```

Values from the calculation:
The magnetization is 0.000 μB/atom. The density of states at the Fermi level comes out at 0.00 states/eV/f.u. Its space-group type is P2_1/m (11).

---

Most stable structure - A; separation to the second - 56 meV/atom.